1.
{
  "formula": "Li2Ti3O6",
  "functional": "GGA-PBE",
  "state": "optimized geometry",
  "lattice_angstrom": [[0.0000, 4.3230, 8.5461], [2.8516, 0.0000, 8.5461], [2.8516, 4.3230, 0.0000]],
  "species": ["Li", "Li", "Li", "Li", "Ti", "Ti", "Ti", "Ti", "Ti", "Ti", "O", "O", "O", "O", "O", "O", "O", "O", "O", "O", "O", "O"],
  "frac_coords": [[0.0442, 0.0442, 0.7058], [0.2942, 0.2942, 0.9558], [0.7058, 0.7058, 0.0442], [0.9558, 0.9558, 0.2942], [0.1250, 0.1250, 0.1250], [0.2101, 0.2101, 0.5399], [0.4601, 0.4601, 0.7899], [0.5399, 0.5399, 0.2101], [0.7899, 0.7899, 0.4601], [0.8750, 0.8750, 0.8750], [0.0242, 0.5548, 0.7070], [0.1114, 0.6386, 0.1114], [0.2140, 0.7070, 0.5548], [0.2930, 0.7860, 0.9758], [0.3614, 0.8886, 0.3614], [0.4452, 0.9758, 0.7860], [0.5548, 0.0242, 0.2140], [0.6386, 0.1114, 0.6386], [0.7070, 0.2140, 0.0242], [0.7860, 0.2930, 0.4452], [0.8886, 0.3614, 0.8886], [0.9758, 0.4452, 0.2930]],
  "total_magnetization_mub_per_cell": 0.00,
  "total_energy_ev_per_atom": -7.94,
  "raw_formation_energy_ev_per_atom": -2.73,
  "e_above_lowest_polymorph_mev_per_atom": 0
}

2.
{
  "formula": "LiTi4O8",
  "functional": "GGA-PBE",
  "state": "optimized geometry",
  "lattice_angstrom": [[2.9947, 1.7290, 4.8270], [-2.9947, 1.7290, 4.8270], [0.0000, -3.4580, 4.8270]],
  "species": ["Li", "Ti", "Ti", "Ti", "Ti", "O", "O", "O", "O", "O", "O", "O", "O"],
  "frac_coords": [[0.0000, 0.0000, 0.0000], [0.0000, 0.5000, 0.5000], [0.5000, 0.0000, 0.5000], [0.5000, 0.5000, 0.0000], [0.5000, 0.5000, 0.5000], [0.2614, 0.2614, 0.7097], [0.2614, 0.7097, 0.2614], [0.2654, 0.2654, 0.2654], [0.2903, 0.7386, 0.7386], [0.7097, 0.2614, 0.2614], [0.7346, 0.7346, 0.7346], [0.7386, 0.2903, 0.7386], [0.7386, 0.7386, 0.2903]],
  "total_magnetization_mub_per_cell": 0.00,
  "total_energy_ev_per_atom": -8.46,
  "raw_formation_energy_ev_per_atom": -2.83,
  "e_above_lowest_polymorph_mev_per_atom": 68
}

3.
{
  "formula": "LiTi2O4",
  "functional": "GGA-PBE",
  "state": "optimized geometry",
  "lattice_angstrom": [[0.0000, 4.2331, 4.2331], [4.2331, 0.0000, 4.2331], [4.2331, 4.2331, 0.0000]],
  "species": ["Li", "Li", "Ti", "Ti", "Ti", "Ti", "O", "O", "O", "O", "O", "O", "O", "O"],
  "frac_coords": [[0.1250, 0.1250, 0.1250], [0.8750, 0.8750, 0.8750], [0.0000, 0.5000, 0.5000], [0.5000, 0.0000, 0.5000], [0.5000, 0.5000, 0.0000], [0.5000, 0.5000, 0.5000], [0.2626, 0.2626, 0.2626], [0.2626, 0.2626, 0.7123], [0.2626, 0.7123, 0.2626], [0.2877, 0.7374, 0.7374], [0.7123, 0.2626, 0.2626], [0.7374, 0.2877, 0.7374], [0.7374, 0.7374, 0.2877], [0.7374, 0.7374, 0.7374]],
  "total_magnetization_mub_per_cell": 0.43,
  "total_energy_ev_per_atom": -8.21,
  "raw_formation_energy_ev_per_atom": -2.85,
  "e_above_lowest_polymorph_mev_per_atom": 0
}

4.
{
  "formula": "Li2Ti3O6",
  "functional": "GGA-PBE",
  "state": "optimized geometry",
  "lattice_angstrom": [[2.5673, -4.4104, 0.0000], [2.5673, 4.4104, 0.0000], [-1.6507, 0.0000, 4.9872]],
  "species": ["Li", "Li", "Ti", "Ti", "Ti", "O", "O", "O", "O", "O", "O"],
  "frac_coords": [[0.1683, 0.8317, 0.0000], [0.8317, 0.1683, 0.0000], [0.0000, 0.0000, 0.5000], [0.3411, 0.6589, 0.5000], [0.6589, 0.3411, 0.5000], [0.0646, 0.4054, 0.7185], [0.2442, 0.2442, 0.2708], [0.4054, 0.0646, 0.7185], [0.5946, 0.9354, 0.2815], [0.7558, 0.7558, 0.7292], [0.9354, 0.5946, 0.2815]],
  "total_magnetization_mub_per_cell": 1.43,
  "total_energy_ev_per_atom": -7.91,
  "raw_formation_energy_ev_per_atom": -2.70,
  "e_above_lowest_polymorph_mev_per_atom": 28
}

5.
{
  "formula": "Li3Ti4O8",
  "functional": "GGA-PBE",
  "state": "optimized geometry",
  "lattice_angstrom": [[4.9326, 0.0000, 0.0000], [0.0000, 5.7713, 0.0000], [-0.0540, 0.0000, 4.9817]],
  "species": ["Li", "Li", "Li", "Ti", "Ti", "Ti", "Ti", "O", "O", "O", "O", "O", "O", "O", "O"],
  "frac_coords": [[0.0000, 0.0000, 0.0000], [0.0000, 0.4866, 0.0000], [0.5000, 0.2415, 0.5000], [0.0000, 0.5062, 0.5000], [0.0000, 0.9788, 0.5000], [0.5000, 0.2429, 0.0000], [0.5000, 0.7427, 0.0000], [0.1714, 0.7426, 0.2548], [0.1786, 0.2426, 0.2693], [0.3177, 0.4867, 0.7735], [0.3177, 0.9987, 0.7734], [0.6823, 0.4867, 0.2265], [0.6823, 0.9987, 0.2266], [0.8214, 0.2426, 0.7307], [0.8286, 0.7426, 0.7452]],
  "total_magnetization_mub_per_cell": 2.80,
  "total_energy_ev_per_atom": -7.74,
  "raw_formation_energy_ev_per_atom": -2.61,
  "e_above_lowest_polymorph_mev_per_atom": 80
}

6.
{
  "formula": "Li2TiO3",
  "functional": "GGA-PBE",
  "state": "optimized geometry",
  "lattice_angstrom": [[4.8049, -2.8231, 0.0000], [4.8049, 2.8231, 0.0000], [0.0000, 0.0000, 5.1017]],
  "species": ["Li", "Li", "Li", "Li", "Ti", "Ti", "O", "O", "O", "O", "O", "O"],
  "frac_coords": [[0.0115, 0.3329, 0.0000], [0.3329, 0.0115, 0.5000], [0.6671, 0.9885, 0.0000], [0.9885, 0.6671, 0.5000], [0.3255, 0.6745, 0.0037], [0.6745, 0.3255, 0.5037], [0.0219, 0.6716, 0.1072], [0.3284, 0.9781, 0.1072], [0.3570, 0.6430, 0.6320], [0.6430, 0.3570, 0.1320], [0.6716, 0.0219, 0.6072], [0.9781, 0.3284, 0.6072]],
  "total_magnetization_mub_per_cell": 0.00,
  "total_energy_ev_per_atom": -7.03,
  "raw_formation_energy_ev_per_atom": -2.60
}

7.
{
  "formula": "LiTi2O4",
  "functional": "GGA-PBE",
  "state": "optimized geometry",
  "lattice_angstrom": [[-2.9698, 3.0032, 4.2053], [2.9698, -3.0032, 4.2053], [2.9698, 3.0032, -4.2053]],
  "species": ["Li", "Li", "Ti", "Ti", "Ti", "Ti", "O", "O", "O", "O", "O", "O", "O", "O"],
  "frac_coords": [[0.5000, 0.0000, 0.0000], [0.5000, 0.5000, 0.5000], [0.0000, 0.0000, 0.0000], [0.0000, 0.0000, 0.5000], [0.0000, 0.5000, 0.0000], [0.5000, 0.0000, 0.5000], [0.2194, 0.2369, 0.9825], [0.2394, 0.2105, 0.4711], [0.2394, 0.7683, 0.0289], [0.2457, 0.7631, 0.4825], [0.7543, 0.2369, 0.5175], [0.7606, 0.2317, 0.9711], [0.7606, 0.7895, 0.5289], [0.7806, 0.7631, 0.0175]],
  "total_magnetization_mub_per_cell": 0.00,
  "total_energy_ev_per_atom": -8.13,
  "raw_formation_energy_ev_per_atom": -2.77,
  "e_above_lowest_polymorph_mev_per_atom": 76
}

8.
{
  "formula": "LiTi2O4",
  "functional": "GGA-PBE",
  "state": "optimized geometry",
  "lattice_angstrom": [[5.9276, 0.0000, 0.0000], [-2.9638, 5.1334, 0.0000], [0.0000, 0.0000, 9.6426]],
  "species": ["Li", "Li", "Li", "Li", "Ti", "Ti", "Ti", "Ti", "Ti", "Ti", "Ti", "Ti", "O", "O", "O", "O", "O", "O", "O", "O", "O", "O", "O", "O", "O", "O", "O", "O"],
  "frac_coords": [[0.0000, 0.0000, 0.0000], [0.0000, 0.0000, 0.5000], [0.3333, 0.6667, 0.4035], [0.6667, 0.3333, 0.9035], [0.1704, 0.3409, 0.7207], [0.1704, 0.8296, 0.7207], [0.3333, 0.6667, 0.9938], [0.3409, 0.1704, 0.2207], [0.6591, 0.8296, 0.7207], [0.6667, 0.3333, 0.4938], [0.8296, 0.1704, 0.2207], [0.8296, 0.6591, 0.2207], [0.0000, 0.0000, 0.3155], [0.0000, 0.0000, 0.8155], [0.0392, 0.5196, 0.8455], [0.1660, 0.3320, 0.1024], [0.1660, 0.8340, 0.1024], [0.3320, 0.1660, 0.6024], [0.3333, 0.6667, 0.6092], [0.4804, 0.5196, 0.8455], [0.4804, 0.9608, 0.8455], [0.5196, 0.0392, 0.3455], [0.5196, 0.4804, 0.3455], [0.6667, 0.3333, 0.1092], [0.6680, 0.8340, 0.1024], [0.8340, 0.1660, 0.6024], [0.8340, 0.6680, 0.6024], [0.9608, 0.4804, 0.3455]],
  "total_magnetization_mub_per_cell": 2.88,
  "total_energy_ev_per_atom": -8.17,
  "raw_formation_energy_ev_per_atom": -2.81,
  "e_above_lowest_polymorph_mev_per_atom": 39
}